Entry 1:
PmPrWO6: relaxed, PBE with a Hubbard U.

Structure (CIF):
```
data_PmPrWO6
_space_group_name_H-M_alt 'P -3 1 c'
_space_group_IT_number 163
_space_group_name_Hall '-P 3 2c'
_cell_length_a 5.7124
_cell_length_b 5.7124
_cell_length_c 9.7808
_cell_angle_alpha 90.00
_cell_angle_beta 90.00
_cell_angle_gamma 120.00
loop_
_atom_site_label
_atom_site_type_symbol
_atom_site_fract_x
_atom_site_fract_y
_atom_site_fract_z
Pm1 Pm 0.3333 0.6667 0.2500
Pr1 Pr 0.0000 0.0000 0.0000
W1 W 0.3333 0.6667 0.7500
O1 O 0.0503 0.3794 0.6380
```

Output
E in eV per atom: -7.983

***

Entry 2:
Pm2PrWO8: relaxed, PBE with a Hubbard U.

Structure (CIF):
```
data_Pm2PrWO8
_space_group_name_H-M_alt 'C m m m'
_space_group_IT_number 65
_space_group_name_Hall '-C 2 2'
_cell_length_a 7.316
_cell_length_b 7.363
_cell_length_c 7.096
_cell_angle_alpha 90.00
_cell_angle_beta 90.00
_cell_angle_gamma 90.00
loop_
_atom_site_label
_atom_site_type_symbol
_atom_site_fract_x
_atom_site_fract_y
_atom_site_fract_z
Pm1 Pm 0.000 0.000 0.244
Pr1 Pr 0.000 0.500 0.500
W1 W 0.000 0.500 0.000
O1 O 0.000 0.320 0.203
O2 O 0.187 0.000 0.500
O3 O 0.232 0.000 0.000
```

Output
E in eV per atom: -7.829

***

| no. | density of states at the Fermi level (states/eV/atom) |
| --- | --- |
| 1 | 0.00 |
| 2 | 0.53 |